Record 1
VASP calculation (PBE) on an optimized crystal structure of NbReSN2.

E above lowest polymorph = 0.0 meV/atom
Volume = 14.66 Å³/atom
Energy relative to the elements, uncorrected = 0.5650 eV/atom
SG = P4/mmm

Unit cell a=3.830 b=3.830 c=4.996 alpha=90.00 beta=90.00 gamma=90.00
Sites, in units of the cell vectors:
Nb1 0.000 0.000 0.000
Re1 0.500 0.500 0.500
S1 0.500 0.500 0.000
N1 0.000 0.500 0.500
N2 0.500 0.000 0.500


Record 2
VASP calculation (PBE) on an optimized crystal structure of NbReS2N.

E above lowest polymorph = 0.0 meV/atom
Volume = 17.01 Å³/atom
Energy relative to the elements, uncorrected = 0.4664 eV/atom
SG = P4/mmm

Unit cell a=4.794 b=4.794 c=3.701 alpha=90.00 beta=90.00 gamma=90.00
Sites, in units of the cell vectors:
Nb1 0.000 0.000 0.000
Re1 0.500 0.500 0.500
S1 0.000 0.500 0.500
S2 0.500 0.000 0.500
N1 0.500 0.500 0.000


Record 3
VASP calculation (PBE) on an optimized crystal structure of NbReS2N.

E above lowest polymorph = 425.4 meV/atom
Volume = 18.74 Å³/atom
Energy relative to the elements, uncorrected = 0.8917 eV/atom
SG = P4/mmm

Unit cell a=4.923 b=4.923 c=3.867 alpha=90.00 beta=90.00 gamma=90.00
Sites, in units of the cell vectors:
Nb1 0.000 0.000 0.000
Re1 0.500 0.500 0.500
S1 0.000 0.500 0.000
S2 0.500 0.000 0.000
N1 0.000 0.000 0.500


Record 4
VASP calculation (PBE) on an optimized crystal structure of NbReSeN2.

E above lowest polymorph = 449.5 meV/atom
Volume = 17.59 Å³/atom
Energy relative to the elements, uncorrected = 1.0948 eV/atom
SG = P4/mmm

Unit cell a=3.990 b=3.990 c=5.525 alpha=90.00 beta=90.00 gamma=90.00
Sites, in units of the cell vectors:
Nb1 0.000 0.000 0.000
Re1 0.500 0.500 0.500
Se1 0.000 0.000 0.500
N1 0.000 0.500 0.000
N2 0.500 0.000 0.000


Record 5
VASP calculation (PBE) on an optimized crystal structure of NbReSe2N.

E above lowest polymorph = 0.0 meV/atom
Volume = 19.00 Å³/atom
Energy relative to the elements, uncorrected = 0.5315 eV/atom
SG = P4/mmm

Unit cell a=5.065 b=5.065 c=3.702 alpha=90.00 beta=90.00 gamma=90.00
Sites, in units of the cell vectors:
Nb1 0.000 0.000 0.000
Re1 0.500 0.500 0.500
Se1 0.000 0.500 0.500
Se2 0.500 0.000 0.500
N1 0.500 0.500 0.000


Record 6
VASP calculation (PBE) on an optimized crystal structure of NbReSe2N.

E above lowest polymorph = 400.9 meV/atom
Volume = 20.58 Å³/atom
Energy relative to the elements, uncorrected = 0.9324 eV/atom
SG = P4/mmm

Unit cell a=5.168 b=5.168 c=3.853 alpha=90.00 beta=90.00 gamma=90.00
Sites, in units of the cell vectors:
Nb1 0.000 0.000 0.000
Re1 0.500 0.500 0.500
Se1 0.000 0.500 0.000
Se2 0.500 0.000 0.000
N1 0.000 0.000 0.500


Record 7
VASP calculation (PBE) on an optimized crystal structure of NbReSeN2.

E above lowest polymorph = 0.0 meV/atom
Volume = 15.84 Å³/atom
Energy relative to the elements, uncorrected = 0.6454 eV/atom
SG = P4/mmm

Unit cell a=3.855 b=3.855 c=5.329 alpha=90.00 beta=90.00 gamma=90.00
Sites, in units of the cell vectors:
Nb1 0.000 0.000 0.000
Re1 0.500 0.500 0.500
Se1 0.500 0.500 0.000
N1 0.000 0.500 0.500
N2 0.500 0.000 0.500


Record 8
VASP calculation (PBE) on an optimized crystal structure of NbReSiN2.

Volume = 17.21 Å³/atom
Energy relative to the elements, uncorrected = 1.2719 eV/atom
SG = P4/mmm

Unit cell a=3.910 b=3.910 c=5.629 alpha=90.00 beta=90.00 gamma=90.00
Sites, in units of the cell vectors:
Nb1 0.000 0.000 0.000
Re1 0.000 0.000 0.500
Si1 0.500 0.500 0.500
N1 0.000 0.500 0.000
N2 0.500 0.000 0.000


Record 9
VASP calculation (PBE) on an optimized crystal structure of SrNbReN2.

Volume = 20.31 Å³/atom
Energy relative to the elements, uncorrected = 2.7891 eV/atom
SG = P4/mmm

Unit cell a=4.162 b=4.162 c=5.863 alpha=90.00 beta=90.00 gamma=90.00
Sites, in units of the cell vectors:
Sr1 0.000 0.000 0.000
Nb1 0.500 0.500 0.500
Re1 0.000 0.000 0.500
N1 0.000 0.500 0.000
N2 0.500 0.000 0.000


Record 10
VASP calculation (PBE) on an optimized crystal structure of Ta2NbReN.

Volume = 15.21 Å³/atom
Energy relative to the elements, uncorrected = -0.3624 eV/atom
SG = P4/mmm

Unit cell a=4.223 b=4.223 c=4.265 alpha=90.00 beta=90.00 gamma=90.00
Sites, in units of the cell vectors:
Ta1 0.000 0.500 0.000
Ta2 0.500 0.000 0.000
Nb1 0.000 0.000 0.500
Re1 0.500 0.500 0.500
N1 0.000 0.000 0.000


Record 11
VASP calculation (PBE) on an optimized crystal structure of TaNb2ReN.

Volume = 15.27 Å³/atom
Energy relative to the elements, uncorrected = -0.3434 eV/atom
SG = P4/mmm

Unit cell a=4.259 b=4.259 c=4.209 alpha=90.00 beta=90.00 gamma=90.00
Sites, in units of the cell vectors:
Ta1 0.000 0.000 0.000
Nb1 0.000 0.500 0.500
Nb2 0.500 0.000 0.500
Re1 0.500 0.500 0.000
N1 0.000 0.000 0.500


Record 12
VASP calculation (PBE) on an optimized crystal structure of Tb2NbReN6.

Volume = 12.29 Å³/atom
Energy relative to the elements, uncorrected = -0.8565 eV/atom
SG = P2_1/c

Unit cell a=5.482 b=5.711 c=9.553 alpha=90.00 beta=124.73 gamma=90.00
Sites, in units of the cell vectors:
Tb1 0.239 0.063 0.250
Tb2 0.239 0.437 0.750
Tb3 0.761 0.563 0.250
Tb4 0.761 0.937 0.750
Nb1 0.500 0.000 0.000
Nb2 0.500 0.500 0.500
Re1 0.000 0.000 0.500
Re2 0.000 0.500 0.000
N1 0.144 0.206 0.950
N2 0.144 0.294 0.450
N3 0.245 0.695 0.952
N4 0.245 0.805 0.452
N5 0.337 0.024 0.744
N6 0.337 0.476 0.244
N7 0.663 0.524 0.756
N8 0.663 0.976 0.256
N9 0.755 0.195 0.548
N10 0.755 0.305 0.048
N11 0.856 0.706 0.550
N12 0.856 0.794 0.050